HoSn2Cl8 | PBE | relaxed

Calculated values
The value obtained for the energy relative to the elements, uncorrected is -1326 meV/atom. The value obtained for the energy above the lowest structure with this stoichiometry is 23 meV/atom.

Lattice parameters (Å, degrees): 12.839 8.477 7.732 90.00 106.23 90.00
Space group C2/m (No. 12)
Symmetry-distinct sites (fractional):
Ho 0.000 0.000 0.000 [2 per cell]
Sn 0.130 0.000 0.609 [4 per cell]
Cl 0.085 0.212 0.824 [8 per cell]
Cl 0.175 0.000 0.275 [4 per cell]
Cl 0.179 0.500 0.256 [4 per cell]

---

HoTlSn2Cl8 | PBE | relaxed

Calculated values
The value obtained for the energy relative to the elements, uncorrected is -1424 meV/atom.

Lattice parameters (Å, degrees): 6.460 6.891 8.985 86.54 88.53 88.00
Space group P-1 (No. 2)
Symmetry-distinct sites (fractional):
Ho 0.000 0.000 0.000 [1 per cell]
Tl 0.000 0.000 0.500 [1 per cell]
Sn 0.493 0.484 0.751 [2 per cell]
Cl 0.216 0.823 0.793 [2 per cell]
Cl 0.236 0.311 0.963 [2 per cell]
Cl 0.252 0.862 0.213 [2 per cell]
Cl 0.279 0.365 0.540 [2 per cell]

---

SrHoCl5 | PBE | relaxed

Calculated values
The value obtained for the energy relative to the elements, uncorrected is -2335 meV/atom.

Lattice parameters (Å, degrees): 7.157 13.430 10.025 90.00 109.58 90.00
Space group P2_1/c (No. 14)
Symmetry-distinct sites (fractional):
Sr 0.036 0.021 0.257 [4 per cell]
Ho 0.394 0.244 0.602 [4 per cell]
Cl 0.080 0.121 0.553 [4 per cell]
Cl 0.141 0.108 0.996 [4 per cell]
Cl 0.304 0.646 0.369 [4 per cell]
Cl 0.356 0.186 0.341 [4 per cell]
Cl 0.393 0.592 0.788 [4 per cell]